This record from Alexandria describes a geometry-optimized La4RuI2N structure. The functional is PBE.

Space group ... P2/m
DOS at the Fermi energy ... 0.70 states/eV per atom
Spin magnetization ... 0.00 μB/f.u.
E ... -6.040 eV per atom
Uncorrected formation energy ... -0.988 eV/atom

Lattice parameters (Å, degrees): 4.141 6.910 8.401 105.48 90.00 90.00
Atoms (fractional coordinates):
1 I 0.000 0.500 0.500
2 I 0.500 0.000 0.500
3 Ru 0.500 0.500 0.000
4 La 0.000 0.232 0.821
5 La 0.500 0.775 0.825
6 La 0.000 0.768 0.179
7 La 0.500 0.225 0.175
8 N 0.000 0.000 0.000


This record from Alexandria describes a geometry-optimized LaAsH2Pt structure. The functional is PBE.

Space group ... Cmcm
DOS at the Fermi energy ... 0.13 states/eV per atom
Spin magnetization ... 0.00 μB/f.u.
E ... -5.193 eV per atom

Lattice parameters (Å, degrees): 4.139 5.565 6.957 90.00 90.00 111.83
Atoms (fractional coordinates):
1 H 0.159 0.319 0.561
2 H 0.159 0.319 0.939
3 H 0.841 0.681 0.439
4 H 0.841 0.681 0.061
5 As 0.563 0.126 0.250
6 As 0.437 0.874 0.750
7 La 0.715 0.431 0.750
8 La 0.285 0.569 0.250
9 Pt 0.000 0.000 0.500
10 Pt 0.000 0.000 0.000


This record from Alexandria describes a geometry-optimized PrNd12Sm7 structure. The functional is PBE.

Excess energy over the best structure of this formula in the dataset ... 0.00 eV/f.u.
Space group ... R-3
DOS at the Fermi energy ... 1.65 states/eV per atom
Spin magnetization ... 0.00 μB/f.u.
E ... -4.606 eV per atom
Energy of formation ... 0.146 eV per atom

Lattice parameters (Å, degrees): 9.519 9.519 9.519 107.79 107.79 107.79
Atoms (fractional coordinates):
1 Nd 0.671 0.379 0.224
2 Nd 0.297 0.407 0.050
3 Nd 0.050 0.297 0.407
4 Nd 0.224 0.671 0.379
5 Nd 0.621 0.776 0.329
6 Nd 0.379 0.224 0.671
7 Nd 0.407 0.050 0.297
8 Nd 0.776 0.329 0.621
9 Nd 0.703 0.593 0.950
10 Nd 0.329 0.621 0.776
11 Nd 0.950 0.703 0.593
12 Nd 0.593 0.950 0.703
13 Sm 0.322 0.008 0.893
14 Sm 0.107 0.678 0.992
15 Sm 0.992 0.107 0.678
16 Sm 0.893 0.322 0.008
17 Sm 0.500 0.500 0.500
18 Sm 0.678 0.992 0.107
19 Sm 0.008 0.893 0.322
20 Pr 0.000 0.000 0.000


This record from Alexandria describes a geometry-optimized Zn3Au4 structure. The functional is PBE.

Excess energy over the best structure of this formula in the dataset ... 0.23 eV/f.u.
Space group ... I4/mmm
DOS at the Fermi energy ... 0.36 states/eV per atom
Spin magnetization ... 0.00 μB/f.u.
E ... -2.571 eV per atom
Energy of formation ... -0.153 eV per atom

Lattice parameters (Å, degrees): 3.339 3.339 10.736 81.05 81.05 90.00
Atoms (fractional coordinates):
1 Zn 0.286 0.286 0.429
2 Zn 0.714 0.714 0.571
3 Zn 0.000 0.000 0.000
4 Au 0.154 0.154 0.692
5 Au 0.431 0.431 0.137
6 Au 0.569 0.569 0.863
7 Au 0.846 0.846 0.308